[1]
The following is a DFT calculation (PBEsol) of Hg2PtSe after structural relaxation.

Values from the calculation:
total magnetization	0.00	μB per formula unit
ρ	13.4	g/cm3
energy relative to the elements, uncorrected	6.1	kJ/mol of atoms
polymorph energy (0 for the lowest one)	0	meV/atom

Structure (CIF):
```
data_Hg2PtSe
_chemical_formula_sum 'Hg2 Pt1 Se1'
_cell_length_a 2.940
_cell_length_b 4.359
_cell_length_c 7.034
_cell_angle_alpha 108.05
_cell_angle_beta 102.06
_cell_angle_gamma 90.00
_space_group_name_H-M_alt 'P 1'
_space_group_IT_number 1
_space_group_name_Hall 'P 1'
loop_
_atom_site_label
_atom_site_type_symbol
_atom_site_fract_x
_atom_site_fract_y
_atom_site_fract_z
Pt1 Pt 0.500 0.000 0.000
Se1 Se 0.000 0.500 0.000
Hg1 Hg 0.809 0.809 0.617
Hg2 Hg 0.191 0.191 0.383
```

[2]
The following is a DFT calculation (PBEsol) of MoOsSe after structural relaxation.

Values from the calculation:
total magnetization	0.00	μB per formula unit
ρ	12.7	g/cm3
energy relative to the elements, uncorrected	59.1	kJ/mol of atoms

Structure (CIF):
```
data_MoOsSe
_chemical_formula_sum 'Mo1 Os1 Se1'
_cell_length_a 2.768
_cell_length_b 2.768
_cell_length_c 7.036
_cell_angle_alpha 96.53
_cell_angle_beta 96.53
_cell_angle_gamma 114.98
_space_group_name_H-M_alt 'P 1'
_space_group_IT_number 1
_space_group_name_Hall 'P 1'
loop_
_atom_site_label
_atom_site_type_symbol
_atom_site_fract_x
_atom_site_fract_y
_atom_site_fract_z
Os1 Os 0.345 0.345 0.690
Mo1 Mo 0.995 0.995 0.990
Se1 Se 0.660 0.660 0.320
```

[3]
The following is a DFT calculation (PBEsol) of Sr2TcSb after structural relaxation.

Values from the calculation:
total magnetization	0.00	μB per formula unit
ρ	5.7	g/cm3
energy relative to the elements, uncorrected	-0.4	kJ/mol of atoms

Structure (CIF):
```
data_Sr2TcSb
_chemical_formula_sum 'Sr2 Tc1 Sb1'
_cell_length_a 3.546
_cell_length_b 3.546
_cell_length_c 9.148
_cell_angle_alpha 90.00
_cell_angle_beta 90.00
_cell_angle_gamma 90.00
_space_group_name_H-M_alt 'P 1'
_space_group_IT_number 1
_space_group_name_Hall 'P 1'
loop_
_atom_site_label
_atom_site_type_symbol
_atom_site_fract_x
_atom_site_fract_y
_atom_site_fract_z
Tc1 Tc 0.000 0.000 0.564
Sb1 Sb 0.500 0.500 0.683
Sr1 Sr 0.000 0.000 0.928
Sr2 Sr 0.500 0.500 0.325
```

[4]
The following is a DFT calculation (PBEsol) of MgBeNb2Se after structural relaxation.

Values from the calculation:
total magnetization	0.00	μB per formula unit
ρ	4.7	g/cm3
energy relative to the elements, uncorrected	180.1	kJ/mol of atoms

Structure (CIF):
```
data_MgBeNb2Se
_chemical_formula_sum 'Mg1 Be1 Nb2 Se1'
_cell_length_a 4.584
_cell_length_b 4.799
_cell_length_c 4.799
_cell_angle_alpha 90.00
_cell_angle_beta 90.00
_cell_angle_gamma 90.00
_space_group_name_H-M_alt 'P 1'
_space_group_IT_number 1
_space_group_name_Hall 'P 1'
loop_
_atom_site_label
_atom_site_type_symbol
_atom_site_fract_x
_atom_site_fract_y
_atom_site_fract_z
Nb1 Nb 0.000 0.500 0.000
Nb2 Nb 0.000 0.000 0.500
Se1 Se 0.500 0.000 0.000
Be1 Be 0.500 0.500 0.500
Mg1 Mg 0.000 0.000 0.000
```

[5]
The following is a DFT calculation (PBEsol) of MgTi14O25 after structural relaxation.

Values from the calculation:
total magnetization	5.91	μB per formula unit
ρ	4.0	g/cm3
energy relative to the elements, uncorrected	-287.6	kJ/mol of atoms

Structure (CIF):
```
data_MgTi14O25
_chemical_formula_sum 'Mg2 Ti28 O50'
_cell_length_a 9.721
_cell_length_b 10.623
_cell_length_c 11.211
_cell_angle_alpha 69.65
_cell_angle_beta 64.31
_cell_angle_gamma 62.77
_space_group_name_H-M_alt 'P 1'
_space_group_IT_number 1
_space_group_name_Hall 'P 1'
loop_
_atom_site_label
_atom_site_type_symbol
_atom_site_fract_x
_atom_site_fract_y
_atom_site_fract_z
O1 O 0.655 0.986 0.067
O2 O 0.728 0.750 0.250
O3 O 0.510 0.915 0.432
O4 O 0.800 0.875 0.625
O5 O 0.597 0.325 0.380
O6 O 0.999 0.524 0.377
O7 O 0.124 0.955 0.250
O8 O 0.490 0.085 0.568
O9 O 0.300 0.625 0.875
O10 O 0.933 0.348 0.249
O11 O 0.908 0.112 0.434
O12 O 0.800 0.922 0.377
O13 O 0.454 0.388 0.066
O14 O 0.314 0.314 0.433
O15 O 0.302 0.175 0.120
O16 O 0.272 0.250 0.750
O17 O 0.098 0.578 0.123
O18 O 0.546 0.612 0.934
O19 O 0.686 0.686 0.567
O20 O 0.876 0.045 0.750
O21 O 0.600 0.277 0.613
O22 O 0.345 0.014 0.933
O23 O 0.900 0.976 0.123
O24 O 0.060 0.186 0.067
O25 O 0.709 0.514 0.433
O26 O 0.092 0.888 0.566
O27 O 0.888 0.288 0.562
O28 O 0.738 0.212 0.938
O29 O 0.067 0.652 0.751
O30 O 0.100 0.024 0.877
O31 O 0.902 0.422 0.877
O32 O 0.671 0.455 0.750
O33 O 0.530 0.152 0.251
O34 O 0.262 0.788 0.062
O35 O 0.291 0.486 0.567
O36 O 0.112 0.712 0.438
O37 O 0.700 0.375 0.125
O38 O 0.510 0.777 0.113
O39 O 0.698 0.825 0.880
O40 O 0.200 0.125 0.375
O41 O 0.470 0.848 0.749
O42 O 0.001 0.476 0.623
O43 O 0.490 0.223 0.887
O44 O 0.400 0.723 0.387
O45 O 0.329 0.545 0.250
O46 O 0.200 0.078 0.623
O47 O 0.143 0.415 0.932
O48 O 0.403 0.675 0.620
O49 O 0.940 0.814 0.933
O50 O 0.857 0.585 0.068
Ti1 Ti 0.691 0.410 0.941
Ti2 Ti 0.890 0.013 0.941
Ti3 Ti 0.901 0.548 0.252
Ti4 Ti 0.700 0.952 0.248
Ti5 Ti 0.240 0.687 0.562
Ti6 Ti 0.042 0.090 0.559
Ti7 Ti 0.499 0.354 0.247
Ti8 Ti 0.110 0.987 0.059
Ti9 Ti 0.099 0.452 0.748
Ti10 Ti 0.560 0.712 0.438
Ti11 Ti 0.440 0.288 0.562
Ti12 Ti 0.501 0.646 0.753
Ti13 Ti 0.645 0.889 0.557
Ti14 Ti 0.091 0.611 0.943
Ti15 Ti 0.760 0.313 0.438
Ti16 Ti 0.899 0.854 0.747
Ti17 Ti 0.490 0.813 0.938
Ti18 Ti 0.510 0.187 0.062
Ti19 Ti 0.291 0.212 0.938
Ti20 Ti 0.309 0.590 0.059
Ti21 Ti 0.355 0.111 0.443
Ti22 Ti 0.958 0.910 0.441
Ti23 Ti 0.300 0.048 0.752
Ti24 Ti 0.844 0.487 0.559
Ti25 Ti 0.156 0.513 0.441
Ti26 Ti 0.909 0.389 0.057
Ti27 Ti 0.101 0.146 0.253
Ti28 Ti 0.709 0.788 0.062
Mg1 Mg 0.303 0.750 0.250
Mg2 Mg 0.697 0.250 0.750
```

[6]
The following is a DFT calculation (PBEsol) of Rb2BiCO after structural relaxation.

Values from the calculation:
total magnetization	0.00	μB per formula unit
ρ	5.1	g/cm3
energy relative to the elements, uncorrected	48.0	kJ/mol of atoms

Structure (CIF):
```
data_Rb2BiCO
_chemical_formula_sum 'Rb2 Bi1 C1 O1'
_cell_length_a 3.203
_cell_length_b 6.432
_cell_length_c 6.432
_cell_angle_alpha 90.00
_cell_angle_beta 90.00
_cell_angle_gamma 90.00
_space_group_name_H-M_alt 'P 1'
_space_group_IT_number 1
_space_group_name_Hall 'P 1'
loop_
_atom_site_label
_atom_site_type_symbol
_atom_site_fract_x
_atom_site_fract_y
_atom_site_fract_z
O1 O 0.000 0.000 0.000
C1 C 0.500 0.000 0.000
Bi1 Bi 0.500 0.500 0.500
Rb1 Rb 0.000 0.500 0.000
Rb2 Rb 0.000 0.000 0.500
```

[7]
The following is a DFT calculation (PBEsol) of Si3BSe after structural relaxation.

Values from the calculation:
total magnetization	0.00	μB per formula unit
ρ	3.9	g/cm3
energy relative to the elements, uncorrected	59.3	kJ/mol of atoms
polymorph energy (0 for the lowest one)	0	meV/atom

Structure (CIF):
```
data_Si3BSe
_chemical_formula_sum 'Si3 B1 Se1'
_cell_length_a 4.197
_cell_length_b 4.197
_cell_length_c 4.197
_cell_angle_alpha 90.00
_cell_angle_beta 90.00
_cell_angle_gamma 90.00
_space_group_name_H-M_alt 'P 1'
_space_group_IT_number 1
_space_group_name_Hall 'P 1'
loop_
_atom_site_label
_atom_site_type_symbol
_atom_site_fract_x
_atom_site_fract_y
_atom_site_fract_z
B1 B 0.000 0.000 0.000
Si1 Si 0.000 0.000 0.500
Si2 Si 0.500 0.000 0.000
Si3 Si 0.000 0.500 0.000
Se1 Se 0.500 0.500 0.500
```

[8]
The following is a DFT calculation (PBEsol) of HoH4Pd after structural relaxation.

Values from the calculation:
total magnetization	0.00	μB per formula unit
ρ	8.6	g/cm3
DFT total energy	-54.23	eV for the cell shown

Structure (CIF):
```
data_HoH4Pd
_chemical_formula_sum 'Ho2 H8 Pd2'
_cell_length_a 3.655
_cell_length_b 4.925
_cell_length_c 6.157
_cell_angle_alpha 90.00
_cell_angle_beta 107.27
_cell_angle_gamma 90.00
_space_group_name_H-M_alt 'P 1'
_space_group_IT_number 1
_space_group_name_Hall 'P 1'
loop_
_atom_site_label
_atom_site_type_symbol
_atom_site_fract_x
_atom_site_fract_y
_atom_site_fract_z
H1 H 0.589 0.750 0.178
H2 H 0.800 0.526 0.599
H3 H 0.000 0.500 0.000
H4 H 0.200 0.474 0.401
H5 H 0.411 0.250 0.822
H6 H 0.800 0.974 0.599
H7 H 0.200 0.026 0.401
H8 H 0.000 0.000 0.000
Ho1 Ho 0.362 0.750 0.724
Ho2 Ho 0.638 0.250 0.276
Pd1 Pd 0.901 0.250 0.802
Pd2 Pd 0.099 0.750 0.198
```

[9]
The following is a DFT calculation (PBEsol) of Li2TaBeH after structural relaxation.

Values from the calculation:
total magnetization	0.00	μB per formula unit
ρ	6.3	g/cm3
DFT total energy	-20.92	eV for the cell shown

Structure (CIF):
```
data_Li2TaBeH
_chemical_formula_sum 'Li2 Ta1 Be1 H1'
_cell_length_a 3.617
_cell_length_b 3.617
_cell_length_c 4.145
_cell_angle_alpha 90.00
_cell_angle_beta 90.00
_cell_angle_gamma 90.00
_space_group_name_H-M_alt 'P 1'
_space_group_IT_number 1
_space_group_name_Hall 'P 1'
loop_
_atom_site_label
_atom_site_type_symbol
_atom_site_fract_x
_atom_site_fract_y
_atom_site_fract_z
H1 H 0.000 0.000 0.000
Ta1 Ta 0.500 0.500 0.500
Li1 Li 0.000 0.500 0.000
Li2 Li 0.500 0.000 0.000
Be1 Be 0.000 0.000 0.500
```

[10]
The following is a DFT calculation (PBEsol) of MnCu2Pb after structural relaxation.

Values from the calculation:
total magnetization	3.83	μB per formula unit
ρ	9.6	g/cm3
energy relative to the elements	0.549	eV per atom

Structure (CIF):
```
data_MnCu2Pb
_chemical_formula_sum 'Mn1 Cu2 Pb1'
_cell_length_a 3.078
_cell_length_b 3.078
_cell_length_c 8.384
_cell_angle_alpha 79.42
_cell_angle_beta 79.42
_cell_angle_gamma 60.00
_space_group_name_H-M_alt 'P 1'
_space_group_IT_number 1
_space_group_name_Hall 'P 1'
loop_
_atom_site_label
_atom_site_type_symbol
_atom_site_fract_x
_atom_site_fract_y
_atom_site_fract_z
Mn1 Mn 0.500 0.500 0.500
Cu1 Cu 0.240 0.240 0.281
Cu2 Cu 0.760 0.760 0.719
Pb1 Pb 0.000 0.000 0.000
```